(1)
First-principles (PBE) data for Li3U3TiSe8 after structural relaxation, as listed in Alexandria via LeMat-Bulk.

Cell and atoms, written as POSCAR:
```
Li3U3TiSe8
1.0
7.896 0.000 0.000
-3.948 6.838 -0.026
0.000 -4.534 6.634
Li U Ti Se
3 3 1 8
Direct
0.000 0.000 0.000 Li
0.000 0.500 0.000 Li
0.500 0.500 0.000 Li
0.500 0.000 0.500 U
0.500 0.500 0.500 U
0.000 0.500 0.500 U
0.000 0.000 0.500 Ti
0.245 0.490 0.235 Se
0.755 0.510 0.765 Se
0.762 0.524 0.256 Se
0.238 0.476 0.744 Se
0.762 0.994 0.256 Se
0.238 0.006 0.744 Se
0.232 0.994 0.256 Se
0.768 0.006 0.744 Se
```

## Properties
* E: -6.2165 eV per atom
* formation energy from raw total energies: -1191 meV per atom

---

(2)
First-principles (PBE) data for Sr3PbN after structural relaxation, as listed in Alexandria via LeMat-Bulk.

Cell and atoms, written as POSCAR:
```
Sr3PbN
1.0
-2.403 4.796 4.915
-6.821 -0.452 2.493
2.717 -0.611 7.325
Sr Pb N
6 2 2
Direct
0.369 0.017 0.502 Sr
0.057 0.673 0.978 Sr
0.550 0.180 0.978 Sr
0.057 0.180 0.978 Sr
0.370 0.523 0.502 Sr
0.876 0.017 0.502 Sr
0.890 0.510 0.475 Pb
0.536 0.687 0.004 Pb
0.049 0.930 0.736 N
0.378 0.266 0.743 N
```

## Properties
* E: -3.8597 eV per atom
* formation energy from raw total energies: -444 meV per atom

---

(3)
First-principles (PBE) data for Ba3OsC2N6 after structural relaxation, as listed in Alexandria via LeMat-Bulk.

Cell and atoms, written as POSCAR:
```
Ba3OsC2N6
1.0
-0.260 4.719 -2.834
-2.237 -4.588 -2.077
-5.763 1.466 2.969
Ba Os C N
3 1 2 6
Direct
0.333 0.667 0.726 Ba
0.667 0.333 0.274 Ba
0.000 0.000 0.000 Ba
0.000 0.000 0.500 Os
0.667 0.333 0.681 C
0.333 0.667 0.319 C
0.624 0.812 0.313 N
0.188 0.376 0.313 N
0.188 0.812 0.313 N
0.812 0.624 0.687 N
0.376 0.188 0.687 N
0.812 0.188 0.687 N
```

## Properties
* E: -7.2176 eV per atom
* formation energy from raw total energies: -101 meV per atom

---

(4)
First-principles (PBE) data for Ac2InGa4Ir3 after structural relaxation, as listed in Alexandria via LeMat-Bulk.

Cell and atoms, written as POSCAR:
```
Ac2InGa4Ir3
1.0
4.356 0.000 0.000
0.000 4.356 0.000
0.000 0.000 11.095
Ac In Ga Ir
2 1 4 3
Direct
0.500 0.000 0.238 Ac
0.000 0.500 0.762 Ac
0.500 0.500 0.500 In
0.500 0.500 0.000 Ga
0.000 0.000 0.000 Ga
0.500 0.000 0.643 Ga
0.000 0.500 0.357 Ga
0.000 0.000 0.500 Ir
0.500 0.000 0.875 Ir
0.000 0.500 0.125 Ir
```

## Properties
* E: -5.5431 eV per atom
* energy of formation from the pure elements: -0.578 eV per atom

---

(5)
First-principles (PBE) data for VCdS2N after structural relaxation, as listed in Alexandria via LeMat-Bulk.

Cell and atoms, written as POSCAR:
```
VCdS2N
1.0
-0.031 -4.419 -1.895
4.377 -0.810 1.818
-1.504 -1.295 3.044
N S V Cd
1 2 1 1
Direct
0.000 0.000 0.500 N
0.000 0.500 0.000 S
0.500 0.000 0.000 S
0.000 0.000 0.000 V
0.500 0.500 0.500 Cd
```

## Properties
* E: -5.4227 eV per atom
* formation energy from raw total energies: -100 meV per atom
* polymorph energy (0 for the lowest one): 0.000 eV per atom

---

Please write out number 5 again, unchanged.
First-principles (PBE) data for VCdS2N after structural relaxation, as listed in Alexandria via LeMat-Bulk.

Cell and atoms, written as POSCAR:
```
VCdS2N
1.0
-0.031 -4.419 -1.895
4.377 -0.810 1.818
-1.504 -1.295 3.044
N S V Cd
1 2 1 1
Direct
0.000 0.000 0.500 N
0.000 0.500 0.000 S
0.500 0.000 0.000 S
0.000 0.000 0.000 V
0.500 0.500 0.500 Cd
```

## Properties
* E: -5.4227 eV per atom
* formation energy from raw total energies: -100 meV per atom
* polymorph energy (0 for the lowest one): 0.000 eV per atom